The following is a PBE-GGA calculation of an optimized crystal structure of MnCrCl2, from the Alexandria database.

Properties
VASP energy	-22.759	eV/f.u.
SG	R-3m (166)
E above lowest polymorph	204	meV/atom
raw formation energy	-68.2	meV per atom

a b c (Å): 9.612 9.612 9.612
angles (deg): 20.83 20.83 20.83
Positions (direct):
Cr 0.250 0.250 0.250
Mn 0.750 0.750 0.750
Cl 0.030 0.030 0.030
Cl 0.470 0.470 0.470